[1]
Compound: BeZnSe2
Source: the Alexandria database
Functional: PBE-GGA
Structure: relaxed

Formation energy (no corrections)   13 kJ/mol of atoms
E   -45.79 eV/cell

a b c (Å): 6.7350 6.7350 6.3337
angles (deg): 90.00 90.00 90.00
Space group I4/mcm (No. 140)
Inequivalent atoms, fractional coordinates:
1 Be 0.0000 0.0000 0.2500 [4 per cell]
2 Zn 0.0000 0.5000 0.2500 [4 per cell]
3 Se 0.1996 0.3004 0.0000 [8 per cell]

***

[2]
Compound: Be3RhSe
Source: the Alexandria database
Functional: PBE-GGA
Structure: relaxed

Formation energy (no corrections)   88 kJ/mol of atoms
E   -17.46 eV/cell

a b c (Å): 4.1522 4.1522 4.1522
angles (deg): 90.00 90.00 90.00
Space group Pm-3m (No. 221)
Inequivalent atoms, fractional coordinates:
1 Be 0.0000 0.0000 0.5000 [3 per cell]
2 Rh 0.5000 0.5000 0.5000 [1 per cell]
3 Se 0.0000 0.0000 0.0000 [1 per cell]

***

[3]
Compound: BeSiSnSe2
Source: the Alexandria database
Functional: PBE-GGA
Structure: relaxed

Formation energy (no corrections)   24 kJ/mol of atoms
E   -18.87 eV/cell

a b c (Å): 4.9625 4.9625 4.2062
angles (deg): 90.00 90.00 90.00
Space group P4/mmm (No. 123)
Inequivalent atoms, fractional coordinates:
1 Be 0.0000 0.0000 0.0000 [1 per cell]
2 Si 0.0000 0.0000 0.5000 [1 per cell]
3 Sn 0.5000 0.5000 0.5000 [1 per cell]
4 Se 0.0000 0.5000 0.0000 [2 per cell]